Here is crystalline Tb8Tm6Pb at its relaxed geometry from Alexandria. Energies are from GGA-PBE.

Summary:
Raw total energy in eV/atom: -4.325
SG: No. 147
N(E_F) in states/eV per cell: 20.3

Unit cell a=6.7344 b=9.0857 c=9.0857 alpha=120.00 beta=90.00 gamma=90.00
Fractional coordinates of all 15 atoms:
Tb: 0.8068 0.3333 0.6667
Tb: 0.1186 0.6797 0.9900
Tb: 0.8814 0.9900 0.3104
Tb: 0.8814 0.6896 0.6797
Tb: 0.8814 0.3203 0.0100
Tb: 0.1186 0.0100 0.6896
Tb: 0.1186 0.3104 0.3203
Tb: 0.1932 0.6667 0.3333
Tm: 0.6086 0.9253 0.6037
Tm: 0.6086 0.6783 0.0747
Tm: 0.6086 0.3963 0.3217
Tm: 0.3914 0.3217 0.9253
Tm: 0.3914 0.6037 0.6783
Tm: 0.3914 0.0747 0.3963
Pb: 0.5000 0.0000 0.0000